Version a
Computed, not measured: a relaxed structure of AsPbW2 at the PBEsol level of DFT.

The space group is C2/m (No. 12) and the conventional cell measures 5.737, 8.872 and 3.094 Å, with angles of 90.00, 114.56 and 90.00 degrees. The inequivalent atoms are As at (0.000, 0.000, 0.000), Pb at (0.000, 0.500, 0.000) and W at (0.250, 0.250, 0.500).

Its total moment is 0.00 μB/atom. The calculation puts the density at 15.064 g/cm³.



Version b
Computed, not measured: a relaxed structure of AsPbW2 at the PBEsol level of DFT.

The space group is P4/mmm (No. 123) and the conventional cell measures 4.573, 4.573 and 3.256 Å, with angles of 90.00, 90.00 and 90.00 degrees. The inequivalent atoms are As at (0.000, 0.000, 0.000), Pb at (0.500, 0.500, 0.000) and W at (0.000, 0.500, 0.500).

Its total moment is 0.00 μB/atom. The calculation puts the density at 15.848 g/cm³.



Stability, lowest: version a



Version a
Computed, not measured: a relaxed structure of Zn2As2Pb at the PBEsol level of DFT.

The space group is I4/mmm (No. 139) and the conventional cell measures 4.307, 4.307 and 10.876 Å, with angles of 90.00, 90.00 and 90.00 degrees. The inequivalent atoms are Zn at (0.000, 0.000, 0.111), As at (0.000, 0.500, 0.250) and Pb at (0.000, 0.000, 0.500).

Its total moment is 0.00 μB/atom. The calculation puts the density at 8.031 g/cm³.



Version b
Computed, not measured: a relaxed structure of Zn2As2Pb at the PBEsol level of DFT.

The space group is I4/mmm (No. 139) and the conventional cell measures 3.897, 3.897 and 13.562 Å, with angles of 90.00, 90.00 and 90.00 degrees. The inequivalent atoms are Zn at (0.000, 0.500, 0.250), As at (0.000, 0.000, 0.128) and Pb at (0.000, 0.000, 0.500).

Its total moment is 0.00 μB/atom. The calculation puts the density at 7.866 g/cm³.



Stability, lowest: version a



Version a
Computed, not measured: a relaxed structure of ZnAsPb at the PBEsol level of DFT.

The space group is F-43m (No. 216) and the conventional cell measures 6.781, 6.781 and 6.781 Å, with angles of 90.00, 90.00 and 90.00 degrees. The inequivalent atoms are Zn at (0.000, 0.000, 0.000), As at (0.000, 0.000, 0.500) and Pb at (0.250, 0.250, 0.250).

Its total moment is 0.00 μB/atom. The calculation puts the density at 7.403 g/cm³.



Version b
Computed, not measured: a relaxed structure of ZnAsPb at the PBEsol level of DFT.

The space group is P3m1 (No. 156) and the conventional cell measures 4.0486, 4.0486 and 4.7724 Å, with angles of 90.00, 90.00 and 120.00 degrees. The inequivalent atoms are Zn at (0.0000, 0.0000, 0.0000), As at (0.3333, 0.6667, 0.8371) and Pb at (0.6667, 0.3333, 0.4097).

Its total moment is 0.00 μB/atom. The calculation puts the density at 8.518 g/cm³.



Version c
Computed, not measured: a relaxed structure of ZnAsPb at the PBEsol level of DFT.

The space group is I4mm (No. 107) and the conventional cell measures 3.491, 3.491 and 10.735 Å, with angles of 90.00, 90.00 and 90.00 degrees. The inequivalent atoms are Zn at (0.000, 0.000, 0.000), As at (0.000, 0.000, 0.582) and Pb at (0.000, 0.000, 0.294).

Its total moment is 0.00 μB/atom. The calculation puts the density at 8.823 g/cm³.



Stability, lowest: version a



Version a
Computed, not measured: a relaxed structure of ZrAsPb at the PBEsol level of DFT.

The space group is P-6m2 (No. 187) and the conventional cell measures 4.5510, 4.5510 and 3.9201 Å, with angles of 90.00, 90.00 and 120.00 degrees. The inequivalent atoms are Zr at (0.0000, 0.0000, 0.0000), As at (0.6667, 0.3333, 0.0000) and Pb at (0.3333, 0.6667, 0.5000).

Its total moment is 0.00 μB/atom. The calculation puts the density at 8.817 g/cm³.



Version b
Computed, not measured: a relaxed structure of ZrAsPb at the PBEsol level of DFT.

The space group is F-43m (No. 216) and the conventional cell measures 6.654, 6.654 and 6.654 Å, with angles of 90.00, 90.00 and 90.00 degrees. The inequivalent atoms are Zr at (0.000, 0.000, 0.000), As at (0.250, 0.250, 0.250) and Pb at (0.000, 0.000, 0.500).

Its total moment is 0.00 μB/atom. The calculation puts the density at 8.417 g/cm³.



Stability, lowest: version b



Version a
Computed, not measured: a relaxed structure of As3Pt at the PBEsol level of DFT.

The space group is R-3m (No. 166, hexagonal axes) and the conventional cell measures 3.6790, 3.6790 and 18.5536 Å, with angles of 90.00, 90.00 and 120.00 degrees. The inequivalent atoms are As at (0.0000, 0.0000, 0.0000), As at (0.0000, 0.0000, 0.2439) and Pt at (0.0000, 0.0000, 0.5000).

Its total moment is 0.00 μB/atom. The calculation puts the density at 9.617 g/cm³.



Version b
Computed, not measured: a relaxed structure of As3Pt at the PBEsol level of DFT.

The space group is I4/mmm (No. 139) and the conventional cell measures 4.466, 4.466 and 13.749 Å, with angles of 90.00, 90.00 and 90.00 degrees. The inequivalent atoms are As at (0.000, 0.000, 0.110), As at (0.000, 0.500, 0.000), As at (0.000, 0.500, 0.250) and Pt at (0.000, 0.000, 0.365).

Its total moment is 0.00 μB/atom. The calculation puts the density at 10.168 g/cm³.



Stability, lowest: version b



Version a
Computed, not measured: a relaxed structure of TlAs2Pt at the PBEsol level of DFT.

The space group is P4/mmm (No. 123) and the conventional cell measures 4.074, 4.074 and 4.607 Å, with angles of 90.00, 90.00 and 90.00 degrees. The inequivalent atoms are Tl at (0.000, 0.000, 0.000), As at (0.000, 0.500, 0.500) and Pt at (0.500, 0.500, 0.000).

Its total moment is 0.00 μB/atom. The calculation puts the density at 11.927 g/cm³.



Version b
Computed, not measured: a relaxed structure of TlAs2Pt at the PBEsol level of DFT.

The space group is Immm (No. 71) and the conventional cell measures 2.909, 5.481 and 10.166 Å, with angles of 90.00, 90.00 and 90.00 degrees. The inequivalent atoms are Tl at (0.000, 0.000, 0.000), As at (0.000, 0.500, 0.208) and Pt at (0.000, 0.000, 0.500).

Its total moment is 0.00 μB/atom. The calculation puts the density at 11.256 g/cm³.



Version c
Computed, not measured: a relaxed structure of TlAs2Pt at the PBEsol level of DFT.

The space group is P4/mmm (No. 123) and the conventional cell measures 3.079, 3.079 and 8.581 Å, with angles of 90.00, 90.00 and 90.00 degrees. The inequivalent atoms are Tl at (0.000, 0.000, 0.000), As at (0.500, 0.500, 0.314) and Pt at (0.000, 0.000, 0.500).

Its total moment is 0.00 μB/atom. The calculation puts the density at 11.216 g/cm³.



Version d
Computed, not measured: a relaxed structure of TlAs2Pt at the PBEsol level of DFT.

The space group is F-43m (No. 216) and the conventional cell measures 6.722, 6.722 and 6.722 Å, with angles of 90.00, 90.00 and 90.00 degrees. The inequivalent atoms are Tl at (0.000, 0.000, 0.000), As at (0.000, 0.000, 0.500), As at (0.250, 0.250, 0.750) and Pt at (0.250, 0.250, 0.250).

Its total moment is 0.00 μB/atom. The calculation puts the density at 12.011 g/cm³.



Stability, lowest: version d



Version a
Computed, not measured: a relaxed structure of ZnAsPt2 at the PBEsol level of DFT.

The space group is Fm-3m (No. 225) and the conventional cell measures 6.215, 6.215 and 6.215 Å, with angles of 90.00, 90.00 and 90.00 degrees. The inequivalent atoms are Zn at (0.000, 0.000, 0.000), As at (0.000, 0.000, 0.500) and Pt at (0.250, 0.250, 0.250).

Its total moment is 0.00 μB/atom. The calculation puts the density at 14.677 g/cm³.



Version b
Computed, not measured: a relaxed structure of ZnAsPt2 at the PBEsol level of DFT.

The space group is Pmm2 (No. 25) and the conventional cell measures 2.937, 4.679 and 4.410 Å, with angles of 90.00, 90.00 and 90.00 degrees. The inequivalent atoms are Zn at (0.000, 0.000, 0.000), As at (0.500, 0.500, 0.753), Pt at (0.000, 0.500, 0.251) and Pt at (0.500, 0.000, 0.504).

Its total moment is 0.00 μB/atom. The calculation puts the density at 14.536 g/cm³.



Stability, lowest: version a



Version a
Computed, not measured: a relaxed structure of ZnAsPt at the PBEsol level of DFT.

The space group is I4mm (No. 107) and the conventional cell measures 2.864, 2.864 and 11.511 Å, with angles of 90.00, 90.00 and 90.00 degrees. The inequivalent atoms are Zn at (0.000, 0.000, 0.000), As at (0.000, 0.000, 0.688) and Pt at (0.000, 0.000, 0.351).

Its total moment is 0.00 μB/atom. The calculation puts the density at 11.796 g/cm³.



Version b
Computed, not measured: a relaxed structure of ZnAsPt at the PBEsol level of DFT.

The space group is F-43m (No. 216) and the conventional cell measures 5.902, 5.902 and 5.902 Å, with angles of 90.00, 90.00 and 90.00 degrees. The inequivalent atoms are Zn at (0.000, 0.000, 0.000), As at (0.250, 0.250, 0.750) and Pt at (0.250, 0.250, 0.250).

Its total moment is 0.00 μB/atom. The calculation puts the density at 10.837 g/cm³.



Stability, lowest: version b



Version a
Computed, not measured: a relaxed structure of Rb2AsS at the PBEsol level of DFT.

The space group is I-42d (No. 122) and the conventional cell measures 12.088, 12.088 and 4.969 Å, with angles of 90.00, 90.00 and 90.00 degrees. The inequivalent atoms are Rb at (0.048, 0.750, 0.125), As at (0.000, 0.000, 0.500) and S at (0.000, 0.000, 0.000).

Its total moment is 0.00 μB/atom. The calculation puts the density at 2.542 g/cm³.



Version b
Computed, not measured: a relaxed structure of Rb2AsS at the PBEsol level of DFT.

The space group is Fm-3m (No. 225) and the conventional cell measures 8.000, 8.000 and 8.000 Å, with angles of 90.00, 90.00 and 90.00 degrees. The inequivalent atoms are Rb at (0.250, 0.250, 0.250), As at (0.000, 0.000, 0.000) and S at (0.000, 0.000, 0.500).

Its total moment is 0.73 μB/atom. The calculation puts the density at 3.605 g/cm³.



Stability, lowest: version b



Version a
Computed, not measured: a relaxed structure of RbSbAs2Se at the PBEsol level of DFT.

The space group is P4/mmm (No. 123) and the conventional cell measures 5.320, 5.320 and 5.497 Å, with angles of 90.00, 90.00 and 90.00 degrees. The inequivalent atoms are Rb at (0.000, 0.000, 0.000), Sb at (0.500, 0.500, 0.500), As at (0.000, 0.500, 0.500) and Se at (0.500, 0.500, 0.000).

Its total moment is 0.20 μB/atom. The calculation puts the density at 4.654 g/cm³.



Version b
Computed, not measured: a relaxed structure of RbSbAs2Se at the PBEsol level of DFT.

The space group is P4/mmm (No. 123) and the conventional cell measures 5.405, 5.405 and 5.432 Å, with angles of 90.00, 90.00 and 90.00 degrees. The inequivalent atoms are Rb at (0.000, 0.000, 0.000), Sb at (0.500, 0.500, 0.500), As at (0.000, 0.500, 0.000) and Se at (0.000, 0.000, 0.500).

Its total moment is 0.00 μB/atom. The calculation puts the density at 4.562 g/cm³.



Stability, lowest: version b



Version a
Computed, not measured: a relaxed structure of Re2SbAs at the PBEsol level of DFT.

The space group is C2/m (No. 12) and the conventional cell measures 8.212, 3.024 and 5.419 Å, with angles of 90.00, 101.61 and 90.00 degrees. The inequivalent atoms are Re at (0.248, 0.000, 0.287), Sb at (0.000, 0.500, 0.000) and As at (0.000, 0.000, 0.500).

Its total moment is 0.00 μB/atom. The calculation puts the density at 14.337 g/cm³.



Version b
Computed, not measured: a relaxed structure of Re2SbAs at the PBEsol level of DFT.

The space group is Pmmm (No. 47) and the conventional cell measures 3.105, 4.218 and 5.120 Å, with angles of 90.00, 90.00 and 90.00 degrees. The inequivalent atoms are Re at (0.000, 0.000, 0.000), Re at (0.500, 0.000, 0.500), Sb at (0.000, 0.500, 0.500) and As at (0.500, 0.500, 0.000).

Its total moment is 0.00 μB/atom. The calculation puts the density at 14.092 g/cm³.



Stability, lowest: version b



Version a
Computed, not measured: a relaxed structure of Re2AsSe at the PBEsol level of DFT.

The space group is P4mm (No. 99) and the conventional cell measures 2.919, 2.919 and 7.912 Å, with angles of 90.00, 90.00 and 90.00 degrees. The inequivalent atoms are Re at (0.000, 0.000, 0.000), Re at (0.500, 0.500, 0.230), As at (0.500, 0.500, 0.795) and Se at (0.000, 0.000, 0.426).

Its total moment is 0.00 μB/atom. The calculation puts the density at 12.967 g/cm³.



Version b
Computed, not measured: a relaxed structure of Re2AsSe at the PBEsol level of DFT.

The space group is I-4m2 (No. 119) and the conventional cell measures 4.027, 4.027 and 7.547 Å, with angles of 90.00, 90.00 and 90.00 degrees. The inequivalent atoms are Re at (0.000, 0.000, 0.000), Re at (0.000, 0.500, 0.250), As at (0.000, 0.500, 0.750) and Se at (0.000, 0.000, 0.500).

Its total moment is 0.00 μB/atom. The calculation puts the density at 14.280 g/cm³.



Stability, lowest: version b



Version a
Computed, not measured: a relaxed structure of TaReAs at the PBEsol level of DFT.

The space group is Imm2 (No. 44) and the conventional cell measures 3.046, 3.886 and 8.026 Å, with angles of 90.00, 90.00 and 90.00 degrees. The inequivalent atoms are Ta at (0.000, 0.000, 0.000), Re at (0.000, 0.000, 0.341) and As at (0.000, 0.000, 0.673).

Its total moment is 0.00 μB/atom. The calculation puts the density at 15.454 g/cm³.



Version b
Computed, not measured: a relaxed structure of TaReAs at the PBEsol level of DFT.

The space group is I4mm (No. 107) and the conventional cell measures 3.014, 3.014 and 10.206 Å, with angles of 90.00, 90.00 and 90.00 degrees. The inequivalent atoms are Ta at (0.000, 0.000, 0.000), Re at (0.000, 0.000, 0.315) and As at (0.000, 0.000, 0.680).

Its total moment is 0.00 μB/atom. The calculation puts the density at 15.836 g/cm³.



Stability, lowest: version a



Version a
Computed, not measured: a relaxed structure of TlRe2As at the PBEsol level of DFT.

The space group is Cmmm (No. 65) and the conventional cell measures 3.035, 5.100 and 8.689 Å, with angles of 90.00, 90.00 and 90.00 degrees. The inequivalent atoms are Tl at (0.000, 0.000, 0.000), Re at (0.000, 0.500, 0.279) and As at (0.000, 0.000, 0.500).

Its total moment is 0.00 μB/atom. The calculation puts the density at 16.092 g/cm³.



Version b
Computed, not measured: a relaxed structure of TlRe2As at the PBEsol level of DFT.

The space group is P4/mmm (No. 123) and the conventional cell measures 4.482, 4.482 and 3.191 Å, with angles of 90.00, 90.00 and 90.00 degrees. The inequivalent atoms are Tl at (0.000, 0.000, 0.000), Re at (0.000, 0.500, 0.500) and As at (0.500, 0.500, 0.000).

Its total moment is 0.00 μB/atom. The calculation puts the density at 16.879 g/cm³.



Stability, lowest: version b